Below is a relaxed KSr2TiBr8 crystal, with properties calculated at the PBE level.

```
12
Lattice="6.7085 0.0000 0.0000 0.0000 9.2669 0.0000 -0.0221 0.0000 7.0140" Properties=species:S:1:pos:R:3 pbc="T T T"
K 0.0000 0.0000 0.0000
Sr 3.3432 2.3701 3.5070
Sr 3.3432 6.8968 3.5070
Ti 0.0000 4.6335 0.0000
Br 1.4889 2.7905 1.0435
Br 1.4889 6.4764 1.0435
Br 1.5597 4.6335 4.8292
Br 1.7516 0.0000 4.4457
Br 4.9349 0.0000 2.5683
Br 5.1267 4.6335 2.1848
Br 5.1975 2.7905 5.9705
Br 5.1975 6.4764 5.9705
```

Summary:
Total moment (μB per formula unit): 1.0
Uncorrected formation energy (eV/atom): -1.689
DFT total energy (eV/atom): -3.834